Density functional theory data (PBE with a Hubbard U) for a relaxed Mg2V2CoO8 crystal. Values from VASP.

Summary:
Total DFT energy (no corrections)   -6.90 eV/atom

Quantum ESPRESSO input file:
```
&SYSTEM
  ibrav = 0, nat = 26, ntyp = 4
/
ATOMIC_SPECIES
Mg 24.30 Mg.upf
V 50.94 V.upf
Co 58.93 Co.upf
O 16.00 O.upf
CELL_PARAMETERS angstrom
3.053 -5.805 0.000
3.053 5.805 0.000
0.000 0.000 8.422
ATOMIC_POSITIONS crystal
Mg 0.116 0.384 0.250
Mg 0.384 0.116 0.750
Mg 0.616 0.884 0.250
Mg 0.884 0.616 0.750
V 0.121 0.879 0.380
V 0.379 0.621 0.880
V 0.621 0.379 0.120
V 0.879 0.121 0.620
Co 0.000 0.000 0.000
Co 0.500 0.500 0.500
O 0.002 0.998 0.754
O 0.113 0.347 0.500
O 0.153 0.387 0.000
O 0.250 0.750 0.274
O 0.250 0.750 0.774
O 0.347 0.113 0.500
O 0.387 0.153 0.000
O 0.498 0.502 0.254
O 0.502 0.498 0.746
O 0.613 0.847 0.000
O 0.653 0.887 0.500
O 0.750 0.250 0.226
O 0.750 0.250 0.726
O 0.847 0.613 0.000
O 0.887 0.653 0.500
O 0.998 0.002 0.246
```